1.
# Ca2In2SiAu4 PBE-GGA relaxed
data_Ca2In2SiAu4
_space_group_name_H-M_alt 'I 4/m m m'
_space_group_IT_number 139
_space_group_name_Hall '-I 4 2'
_cell_length_a 6.819
_cell_length_b 6.819
_cell_length_c 8.820
_cell_angle_alpha 90.00
_cell_angle_beta 90.00
_cell_angle_gamma 90.00
loop_
_atom_site_label
_atom_site_type_symbol
_atom_site_fract_x
_atom_site_fract_y
_atom_site_fract_z
Ca1 Ca 0.000 0.500 0.250
In1 In 0.000 0.000 0.187
Si1 Si 0.000 0.000 0.500
Au1 Au 0.244 0.244 0.000
# Uncorrected formation energy (meV per atom): -441
# Uncorrected energy (eV/atom): -3.55
# Spin magnetization (μB/cell): 0.00

=====

2.
# CaIn2Si2Au7 PBE-GGA relaxed
data_CaIn2Si2Au7
_space_group_name_H-M_alt 'C 1 2/m 1'
_space_group_IT_number 12
_cell_length_a 6.888
_cell_length_b 7.018
_cell_length_c 11.270
_cell_angle_alpha 90.00
_cell_angle_beta 103.84
_cell_angle_gamma 90.00
loop_
_space_group_symop_operation_xyz
'x,y,z'
'-x,-y,-z'
'-x,y,-z'
'x,-y,z'
'x+1/2,y+1/2,z'
'-x+1/2,-y+1/2,-z'
'-x+1/2,y+1/2,-z'
'x+1/2,-y+1/2,z'
loop_
_atom_site_label
_atom_site_type_symbol
_atom_site_fract_x
_atom_site_fract_y
_atom_site_fract_z
Ca1 Ca 0.000 0.000 0.000
In1 In 0.150 0.000 0.354
Si1 Si 0.217 0.500 0.218
Au1 Au 0.000 0.500 0.000
Au2 Au 0.115 0.292 0.807
Au3 Au 0.119 0.500 0.414
# Uncorrected formation energy (meV per atom): -228
# Uncorrected energy (eV/atom): -3.67
# Spin magnetization (μB/cell): 0.00

=====

3.
# CaSmInAu PBE-GGA relaxed
data_CaSmInAu
_space_group_name_H-M_alt 'P 4 m m'
_space_group_IT_number 99
_cell_length_a 3.693
_cell_length_b 3.693
_cell_length_c 7.819
_cell_angle_alpha 90.00
_cell_angle_beta 90.00
_cell_angle_gamma 90.00
loop_
_space_group_symop_operation_xyz
'x,y,z'
'-y,x,z'
'-x,-y,z'
'y,-x,z'
'-x,y,z'
'y,x,z'
'x,-y,z'
'-y,-x,z'
loop_
_atom_site_label
_atom_site_type_symbol
_atom_site_fract_x
_atom_site_fract_y
_atom_site_fract_z
Ca1 Ca 0.000 0.000 0.000
Sm1 Sm 0.000 0.000 0.460
In1 In 0.500 0.500 0.729
Au1 Au 0.500 0.500 0.243
# Calculated formation energy (eV per atom): -0.6340
# E above lowest polymorph (kcal/mol of atoms): 0.00
# Uncorrected energy (eV/atom): -3.82
# Spin magnetization (μB/cell): 0.00

=====

4.
# CaSmInAu PBE-GGA relaxed
data_CaSmInAu
_space_group_name_H-M_alt 'F -4 3 m'
_space_group_IT_number 216
_space_group_name_Hall 'F -4 2 3'
_cell_length_a 7.493
_cell_length_b 7.493
_cell_length_c 7.493
_cell_angle_alpha 90.00
_cell_angle_beta 90.00
_cell_angle_gamma 90.00
loop_
_atom_site_label
_atom_site_type_symbol
_atom_site_fract_x
_atom_site_fract_y
_atom_site_fract_z
Ca1 Ca 0.000 0.000 0.000
Sm1 Sm 0.000 0.000 0.500
In1 In 0.250 0.250 0.250
Au1 Au 0.250 0.250 0.750
# Calculated formation energy (eV per atom): -0.6100
# E above lowest polymorph (kcal/mol of atoms): 0.55
# Uncorrected energy (eV/atom): -3.79
# Spin magnetization (μB/cell): 0.00

=====

5.
# CaInSnAu2 PBE-GGA relaxed
data_CaInSnAu2
_space_group_name_H-M_alt 'P 4/m m m'
_space_group_IT_number 123
_space_group_name_Hall '-P 4 2'
_cell_length_a 5.296
_cell_length_b 5.296
_cell_length_c 5.883
_cell_angle_alpha 90.00
_cell_angle_beta 90.00
_cell_angle_gamma 90.00
loop_
_atom_site_label
_atom_site_type_symbol
_atom_site_fract_x
_atom_site_fract_y
_atom_site_fract_z
Ca1 Ca 0.000 0.000 0.000
In1 In 0.000 0.000 0.500
Sn1 Sn 0.500 0.500 0.500
Au1 Au 0.000 0.500 0.000
# Calculated formation energy (eV per atom): 0.4984
# Uncorrected energy (eV/atom): -2.56
# Spin magnetization (μB/cell): 0.00

=====

6.
# SrCaIn2Au4 PBE-GGA relaxed
data_SrCaIn2Au4
_space_group_name_H-M_alt 'R -3 m'
_space_group_IT_number 166
_space_group_name_Hall '-R 3 2"'
_cell_length_a 4.9914
_cell_length_b 4.9914
_cell_length_c 25.8894
_cell_angle_alpha 90.00
_cell_angle_beta 90.00
_cell_angle_gamma 120.00
loop_
_atom_site_label
_atom_site_type_symbol
_atom_site_fract_x
_atom_site_fract_y
_atom_site_fract_z
Sr1 Sr 0.0000 0.0000 0.0000
Ca1 Ca 0.0000 0.0000 0.5000
In1 In 0.0000 0.0000 0.2466
Au1 Au 0.0000 0.0000 0.1282
Au2 Au 0.0000 0.0000 0.3863
# Calculated formation energy (eV per atom): -0.5742
# Uncorrected energy (eV/atom): -3.36
# Spin magnetization (μB/cell): 0.00

=====

7.
# CaTbInAu PBE-GGA relaxed
data_CaTbInAu
_space_group_name_H-M_alt 'F -4 3 m'
_space_group_IT_number 216
_space_group_name_Hall 'F -4 2 3'
_cell_length_a 7.428
_cell_length_b 7.428
_cell_length_c 7.428
_cell_angle_alpha 90.00
_cell_angle_beta 90.00
_cell_angle_gamma 90.00
loop_
_atom_site_label
_atom_site_type_symbol
_atom_site_fract_x
_atom_site_fract_y
_atom_site_fract_z
Ca1 Ca 0.000 0.000 0.000
Tb1 Tb 0.000 0.000 0.500
In1 In 0.250 0.250 0.750
Au1 Au 0.250 0.250 0.250
# Calculated formation energy (eV per atom): -0.6086
# E above lowest polymorph (kcal/mol of atoms): 1.03
# Uncorrected energy (eV/atom): -3.77
# Spin magnetization (μB/cell): 0.00

=====

8.
# CaTbIn2Au4 PBE-GGA relaxed
data_CaTbIn2Au4
_space_group_name_H-M_alt 'R -3 m'
_space_group_IT_number 166
_space_group_name_Hall '-R 3 2"'
_cell_length_a 4.9826
_cell_length_b 4.9826
_cell_length_c 24.2124
_cell_angle_alpha 90.00
_cell_angle_beta 90.00
_cell_angle_gamma 120.00
loop_
_atom_site_label
_atom_site_type_symbol
_atom_site_fract_x
_atom_site_fract_y
_atom_site_fract_z
Ca1 Ca 0.0000 0.0000 0.0000
Tb1 Tb 0.0000 0.0000 0.5000
In1 In 0.0000 0.0000 0.2514
Au1 Au 0.0000 0.0000 0.1280
Au2 Au 0.0000 0.0000 0.3765
# Calculated formation energy (eV per atom): -0.6513
# Uncorrected energy (eV/atom): -3.80
# Spin magnetization (μB/cell): 0.00

=====

Question: Among the records above, which one has the highest uncorrected energy?
Answer: CaInSnAu2